# AcNd2ReN5 PBE optimized geometry
# Raw formation energy, eV/atom: -1.05
# Calculated volume, Å³/f.u.: 140
data_AcNd2ReN5
_chemical_formula_sum 'Ac4 Nd8 Re4 N20'
_symmetry_space_group_name_H-M 'I 4/m c m'
_symmetry_Int_Tables_number 140
_symmetry_space_group_name_Hall '-I 4 2c'
_cell_length_a 6.9530
_cell_length_b 6.9530
_cell_length_c 11.6022
_cell_angle_alpha 90.00
_cell_angle_beta 90.00
_cell_angle_gamma 90.00
loop_
_atom_site_label
_atom_site_type_symbol
_atom_site_fract_x
_atom_site_fract_y
_atom_site_fract_z
Ac1 Ac 0.0000 0.0000 0.2500
Nd1 Nd 0.1756 0.3244 0.0000
Re1 Re 0.0000 0.5000 0.2500
N1 N 0.0000 0.0000 0.0000
N2 N 0.1453 0.3547 0.3515